[1]
Density functional theory data (PBE-GGA) for a geometry-optimized PuMgH8Pd2 structure.

Geometry as CIF:
```
data_PuMgH8Pd2
_chemical_formula_sum 'Pu3 Mg3 H24 Pd6'
_cell_length_a 4.8158
_cell_length_b 4.8158
_cell_length_c 16.6227
_cell_angle_alpha 90.00
_cell_angle_beta 90.00
_cell_angle_gamma 120.00
_symmetry_space_group_name_H-M 'R -3'
_symmetry_Int_Tables_number 148
_symmetry_space_group_name_Hall '-R 3'
loop_
_atom_site_label
_atom_site_fract_x
_atom_site_fract_y
_atom_site_fract_z
_atom_site_occupancy
Pu1 0.0000 0.0000 0.0000 1
Mg1 0.0000 0.0000 0.5000 1
H1 0.0000 0.0000 0.3219 1
H2 0.0082 0.2953 0.1036 1
Pd1 0.0000 0.0000 0.2224 1
```

## Properties
**DOS at the Fermi energy**: 1.214 states/eV per atom

[2]
Density functional theory data (PBE-GGA) for a geometry-optimized PuMgH6Pd2 structure.

Geometry as CIF:
```
data_PuMgH6Pd2
_chemical_formula_sum 'Pu3 Mg3 H18 Pd6'
_cell_length_a 4.5527
_cell_length_b 4.5527
_cell_length_c 16.0770
_cell_angle_alpha 90.00
_cell_angle_beta 90.00
_cell_angle_gamma 120.00
_symmetry_space_group_name_H-M 'R -3 m'
_symmetry_Int_Tables_number 166
_symmetry_space_group_name_Hall '-R 3 2"'
loop_
_atom_site_label
_atom_site_fract_x
_atom_site_fract_y
_atom_site_fract_z
_atom_site_occupancy
Pu1 0.0000 0.0000 0.0000 1
Mg1 0.0000 0.0000 0.5000 1
H1 0.0109 0.5054 0.0590 1
Pd1 0.0000 0.0000 0.2103 1
```

## Properties
**DOS at the Fermi energy**: 1.064 states/eV per atom

[3]
Density functional theory data (PBE-GGA) for a geometry-optimized MgHPd2Rh structure.

Geometry as CIF:
```
data_MgHPd2Rh
_chemical_formula_sum 'Mg1 H1 Pd2 Rh1'
_cell_length_a 4.059
_cell_length_b 4.059
_cell_length_c 3.876
_cell_angle_alpha 90.00
_cell_angle_beta 90.00
_cell_angle_gamma 90.00
_symmetry_space_group_name_H-M 'P 4/m m m'
_symmetry_Int_Tables_number 123
_symmetry_space_group_name_Hall '-P 4 2'
loop_
_atom_site_label
_atom_site_fract_x
_atom_site_fract_y
_atom_site_fract_z
_atom_site_occupancy
Mg1 0.000 0.000 0.000 1
H1 0.500 0.500 0.500 1
Pd1 0.000 0.500 0.500 1
Rh1 0.500 0.500 0.000 1
```

## Properties
**DOS at the Fermi energy**: 0.923 states/eV per atom

[4]
Density functional theory data (PBE-GGA) for a geometry-optimized MgH6Pd2Rh structure.

Geometry as CIF:
```
data_MgH6Pd2Rh
_chemical_formula_sum 'Mg1 H6 Pd2 Rh1'
_cell_length_a 4.431
_cell_length_b 4.839
_cell_length_c 5.309
_cell_angle_alpha 89.96
_cell_angle_beta 66.17
_cell_angle_gamma 63.62
_symmetry_space_group_name_H-M 'P 1'
_symmetry_Int_Tables_number 1
_symmetry_space_group_name_Hall 'P 1'
loop_
_atom_site_label
_atom_site_fract_x
_atom_site_fract_y
_atom_site_fract_z
_atom_site_occupancy
Mg1 0.000 0.000 0.000 1
H1 0.222 0.508 0.852 1
H2 0.421 0.145 0.359 1
H3 0.508 0.012 0.946 1
H4 0.548 0.536 0.128 1
H5 0.885 0.318 0.395 1
H6 0.995 0.721 0.459 1
Pd1 0.623 0.126 0.586 1
Pd2 0.813 0.561 0.796 1
Rh1 0.227 0.397 0.176 1
```

## Properties
**DOS at the Fermi energy**: 0.152 states/eV per atom

It is found that the DFT total energy values, taken in the order of the records, are -161.78 -146.45 -24.40 -41.00 eV per cell.